Record 1
A plane-wave DFT calculation with PBE was carried out for a geometry-optimized Li3Sn2F7 structure.

Computed properties:
Uncorrected formation energy: -2.547 eV/atom
M_tot: 0.00 μB per formula unit
SG: Cmc2_1
Calculated volume: 333.24 Å³ per cell

Lattice parameters (Å, degrees): 5.5872 5.7285 10.7987 105.38 90.00 90.00
Last column: nearest neighbours and their distance in Å.
Fractional positions:
1 F 0.3740 0.0061 0.8522  1 Li 1.96
2 Li 0.2728 0.3899 0.4429  4 F 1.89-2.05
3 F 0.4942 0.5622 0.0000  2 Li 1.90-1.99
4 F 0.0780 0.5108 0.3306  1 Li 1.89
5 Sn 0.2578 0.6202 0.7897  3 F 2.22-2.33
6 F 0.6345 0.3479 0.4108  3 Li 1.97-2.05
7 F 0.0780 0.1802 0.6694  1 Li 1.89
8 Sn 0.2578 0.8305 0.2103  3 F 2.22-2.33
9 Li 0.7728 0.6101 0.5571  4 F 1.89-2.05
10 F 0.9942 0.4378 0.0000  2 Li 1.90-1.99
11 F 0.5780 0.8198 0.3306  1 Li 1.89
12 F 0.3740 0.1539 0.1478  1 Li 1.96
13 F 0.8740 0.8461 0.8522  1 Li 1.96
14 F 0.8740 0.9939 0.1478  1 Li 1.96
15 Sn 0.7578 0.1695 0.7897  3 F 2.22-2.33
16 Li 0.2917 0.2765 0.0000  4 F 1.90-1.99
17 Li 0.7917 0.7235 0.0000  4 F 1.90-1.99
18 F 0.1345 0.6521 0.5892  3 Li 1.97-2.05
19 F 0.6345 0.9371 0.5892  3 Li 1.97-2.05
20 F 0.1345 0.0629 0.4108  3 Li 1.97-2.05
21 Li 0.7728 0.0530 0.4429  4 F 1.89-2.05
22 Li 0.2728 0.9470 0.5571  4 F 1.89-2.05
23 F 0.5780 0.4892 0.6694  1 Li 1.89
24 Sn 0.7578 0.3798 0.2103  3 F 2.22-2.33



Record 2
A plane-wave DFT calculation with PBE was carried out for a geometry-optimized PrErTm5Th2 structure.

Computed properties:
Energy of formation: 0.340 eV per atom
M_tot: 0.00 μB per formula unit
SG: I4/mcm
Calculated volume: 589.06 Å³ per cell

Lattice parameters (Å, degrees): 8.8909 8.8909 9.7496 117.13 117.13 90.00
Last column: nearest neighbours and their distance in Å.
Fractional positions:
1 Pr 0.7500 0.7500 0.5000  10 Tm 3.61-3.73
2 Tm 0.3434 0.8434 0.2735  1 Th 3.00, 1 Er 3.10
3 Tm 0.5000 0.5000 0.0000  4 Th 3.55, 2 Pr 3.73, 8 Tm 3.79
4 Th 0.3819 0.8819 0.0000  1 Th 2.97, 2 Tm 3.00
5 Th 0.1181 0.3819 0.0000  1 Th 2.97, 2 Tm 3.00
6 Tm 0.6566 0.1566 0.7265  1 Th 3.00, 1 Er 3.10
7 Er 0.2500 0.7500 0.5000  4 Tm 3.10
8 Tm 0.1566 0.0700 0.7265  1 Th 3.00, 1 Er 3.10
9 Th 0.6181 0.1181 0.0000  1 Th 2.97, 2 Tm 3.00
10 Tm 0.9300 0.4300 0.2735  1 Th 3.00, 1 Er 3.10
11 Tm 0.4300 0.3434 0.2735  1 Th 3.00, 1 Er 3.10
12 Tm 0.0000 0.0000 0.0000  4 Th 3.55, 2 Pr 3.73, 8 Tm 3.79
13 Tm 0.8434 0.9300 0.2735  1 Th 3.00, 1 Er 3.10
14 Th 0.8819 0.6181 0.0000  1 Th 2.97, 2 Tm 3.00
15 Tm 0.5700 0.6566 0.7265  1 Th 3.00, 1 Er 3.10
16 Er 0.7500 0.2500 0.5000  4 Tm 3.10
17 Tm 0.0700 0.5700 0.7265  1 Th 3.00, 1 Er 3.10
18 Pr 0.2500 0.2500 0.5000  10 Tm 3.61-3.73



Record 3
A plane-wave DFT calculation with PBE was carried out for a geometry-optimized BeReSbTe2 structure.

Computed properties:
Uncorrected formation energy: 1.259 eV/atom
M_tot: 2.07 μB per formula unit
SG: P4/mmm
Calculated volume: 111.43 Å³ per cell

Lattice parameters (Å, degrees): 4.9019 4.9019 4.6375 90.00 90.00 90.00
Last column: nearest neighbours and their distance in Å.
Fractional positions:
1 Te 0.5000 0.0000 0.0000  2 Be 2.45
2 Be 0.0000 0.0000 0.0000  2 Sb 2.32, 4 Te 2.45
3 Sb 0.0000 0.0000 0.5000  2 Be 2.32
4 Re 0.5000 0.5000 0.5000  8 Te 3.37, 4 Sb 3.47
5 Te 0.0000 0.5000 0.0000  2 Be 2.45



Record 4
A plane-wave DFT calculation with PBE was carried out for a geometry-optimized BaLiLa2 structure.

Computed properties:
Energy of formation: 0.273 eV per atom
M_tot: 0.00 μB per formula unit
SG: Cmmm
Calculated volume: 152.04 Å³ per cell

Lattice parameters (Å, degrees): 6.7166 6.7166 3.7257 90.00 90.00 115.23
Last column: nearest neighbours and their distance in Å.
Fractional positions:
1 La 0.0000 0.0000 0.0000  4 La 3.60-3.73, 4 Ba 3.84, 4 Li 3.84
2 Li 0.5000 0.0000 0.5000  2 Ba 3.60, 2 Li 3.73, 8 La 3.84
3 Ba 0.0000 0.5000 0.5000  2 Li 3.60, 2 Ba 3.73, 8 La 3.84
4 La 0.5000 0.5000 0.0000  4 La 3.60-3.73, 4 Li 3.84, 4 Ba 3.84



Record 5
A plane-wave DFT calculation with PBE was carried out for a geometry-optimized LaB5Rh7 structure.

Computed properties:
Energy of formation: -0.174 eV per atom
M_tot: 0.00 μB per formula unit
SG: Imm2
Calculated volume: 163.49 Å³ per cell

Lattice parameters (Å, degrees): 5.0833 6.2256 6.2256 84.83 65.90 65.90
Last column: nearest neighbours and their distance in Å.
Fractional positions:
1 Rh 0.5525 0.7360 0.1590  3 B 2.13-2.34
2 Rh 0.5525 0.1590 0.7360  3 B 2.13-2.34
3 Rh 0.9112 0.7522 0.4254  3 B 2.09-2.12
4 Rh 0.3431 0.6569 0.6569  1 La 2.51, 6 B 2.51-2.75, 1 Rh 2.60
5 B 0.4565 0.9970 0.4569  1 B 1.86
6 La 0.0154 0.9846 0.9846  2 Rh 2.51-2.55
7 B 0.4565 0.4569 0.9970  1 B 1.86
8 B 0.0896 0.4569 0.9970  1 B 1.86
9 Rh 0.6823 0.3177 0.3177  1 La 2.55, 5 Rh 2.57-2.62, 4 B 2.61
10 B 0.7049 0.7951 0.7951  4 Rh 2.09-2.13
11 B 0.0896 0.9970 0.4569  1 B 1.86
12 Rh 0.9112 0.4254 0.7522  3 B 2.09-2.12
13 Rh 0.2347 0.2653 0.2653  4 B 2.16



Record 6
A plane-wave DFT calculation with PBE was carried out for a geometry-optimized KRbAu5 structure.

Computed properties:
Energy of formation: -0.191 eV per atom
M_tot: 0.00 μB per formula unit
SG: Pnma
Calculated volume: 713.99 Å³ per cell

Lattice parameters (Å, degrees): 5.7644 9.8891 12.5252 90.00 90.00 90.00
Last column: nearest neighbours and their distance in Å.
Fractional positions:
1 Au 0.4971 0.0748 0.6762  7 Au 2.78-3.08
2 Au 0.2500 0.5670 0.0146  5 Au 2.78-2.90
3 Au 0.2500 0.0670 0.4854  5 Au 2.78-2.90
4 K 0.2500 0.8734 0.8692  10 Au 3.32-3.54, 1 Rb 3.71
5 K 0.7500 0.1266 0.1308  10 Au 3.32-3.54, 1 Rb 3.71
6 K 0.7500 0.6266 0.3692  10 Au 3.32-3.54, 1 Rb 3.71
7 Au 0.5029 0.9252 0.3238  7 Au 2.78-3.08
8 Au 0.2500 0.9598 0.1317  4 Au 2.83-2.92
9 Rb 0.2500 0.7394 0.5640  8 Au 3.39-3.69, 1 K 3.71
10 Au 0.7500 0.9330 0.5146  5 Au 2.78-2.90
11 Rb 0.7500 0.7606 0.0640  8 Au 3.39-3.69, 1 K 3.71
12 Au 0.4971 0.5748 0.8238  7 Au 2.78-3.08
13 Au 0.7500 0.3077 0.7759  7 Au 2.89-3.08
14 Au 0.5029 0.4252 0.1762  7 Au 2.78-3.08
15 Au 0.9971 0.9252 0.3238  7 Au 2.78-3.08
16 Au 0.0029 0.0748 0.6762  7 Au 2.78-3.08
17 Au 0.2500 0.1923 0.2759  7 Au 2.89-3.08
18 Au 0.7500 0.8077 0.7241  7 Au 2.89-3.08
19 Au 0.7500 0.0402 0.8683  4 Au 2.83-2.92
20 K 0.2500 0.3734 0.6308  10 Au 3.32-3.54, 1 Rb 3.71
21 Au 0.7500 0.5402 0.6317  4 Au 2.83-2.92
22 Au 0.2500 0.4598 0.3683  4 Au 2.83-2.92
23 Au 0.9971 0.4252 0.1762  7 Au 2.78-3.08
24 Rb 0.2500 0.2394 0.9360  8 Au 3.39-3.69, 1 K 3.71
25 Au 0.2500 0.6923 0.2241  7 Au 2.89-3.08
26 Au 0.7500 0.4330 0.9854  5 Au 2.78-2.90
27 Au 0.0029 0.5748 0.8238  7 Au 2.78-3.08
28 Rb 0.7500 0.2606 0.4360  8 Au 3.39-3.69, 1 K 3.71



Record 7
A plane-wave DFT calculation with PBE was carried out for a geometry-optimized Er2TiTl3Te6 structure.

Computed properties:
Uncorrected formation energy: -0.840 eV/atom
M_tot: 1.01 μB per formula unit
SG: C2/m
Calculated volume: 395.57 Å³ per cell

Lattice parameters (Å, degrees): 7.4764 7.4764 8.5371 98.43 98.43 119.90
Last column: nearest neighbours and their distance in Å.
Fractional positions:
1 Te 0.6169 0.9324 0.7957  1 Ti 2.89, 2 Er 3.06-3.07
2 Tl 0.8260 0.1740 0.5000  6 Te 3.43-3.51
3 Te 0.2453 0.2453 0.7893  1 Ti 2.92, 2 Er 3.07
4 Tl 0.1740 0.8260 0.5000  6 Te 3.43-3.51
5 Er 0.6651 0.3349 0.0000  6 Te 3.06-3.07
6 Te 0.7547 0.7547 0.2107  1 Ti 2.92, 2 Er 3.07
7 Te 0.9324 0.6169 0.7957  1 Ti 2.89, 2 Er 3.06-3.07
8 Tl 0.5000 0.5000 0.5000  6 Te 3.43-3.53
9 Er 0.3349 0.6651 0.0000  6 Te 3.06-3.07
10 Ti 0.0000 0.0000 0.0000  6 Te 2.89-2.92
11 Te 0.3831 0.0676 0.2043  1 Ti 2.89, 2 Er 3.06-3.07
12 Te 0.0676 0.3831 0.2043  1 Ti 2.89, 2 Er 3.06-3.07



Record 8
A plane-wave DFT calculation with PBE was carried out for a geometry-optimized HfMnCd3 structure.

Computed properties:
Energy of formation: 0.877 eV per atom
M_tot: 3.22 μB per formula unit
SG: Pm-3m
Calculated volume: 119.63 Å³ per cell

Lattice parameters (Å, degrees): 4.9273 4.9273 4.9273 90.00 90.00 90.00
Last column: nearest neighbours and their distance in Å.
Fractional positions:
1 Cd 0.0000 0.5000 0.0000  2 Mn 2.46
2 Cd 0.5000 0.0000 0.0000  2 Mn 2.46
3 Mn 0.0000 0.0000 0.0000  6 Cd 2.46
4 Cd 0.0000 0.0000 0.5000  2 Mn 2.46
5 Hf 0.5000 0.5000 0.5000  12 Cd 3.48



The lowest calculated volume belongs to which entry? BeReSbTe2